{
  "formula": "CaY2In2",
  "functional": "GGA-PBE",
  "state": "optimized geometry",
  "cell": [[8.518, 0.000, 0.000], [0.000, 8.518, 0.000], [0.000, 0.000, 4.081]],
  "species": ["In", "In", "In", "In", "Y", "Y", "Y", "Y", "Ca", "Ca"],
  "fractional_positions": [[0.874, 0.626, 0.000], [0.626, 0.126, 0.000], [0.374, 0.874, 0.000], [0.126, 0.374, 0.000], [0.173, 0.673, 0.500], [0.827, 0.327, 0.500], [0.673, 0.827, 0.500], [0.327, 0.173, 0.500], [0.000, 0.000, 0.000], [0.500, 0.500, 0.000]],
  "e_above_lowest_polymorph_mev_per_atom": 0,
  "magnetic_moment_mub_per_fu": 0.00,
  "dft_energy_ev_per_cell": -44.8,
  "delta_e_f_mev_per_atom": -402
}